# 1
Here is crystalline PmLuPbBr at its relaxed geometry from the Alexandria database. Energies are from PBE.

Cell: 7.596 7.596 7.596 Å, 90.00 90.00 90.00°
Fractional coordinates of all 16 atoms:
Pm  0.000  0.000  0.000
Pm  0.000  0.500  0.500
Pm  0.500  0.000  0.500
Pm  0.500  0.500  0.000
Lu  0.000  0.000  0.500
Lu  0.000  0.500  0.000
Lu  0.500  0.000  0.000
Lu  0.500  0.500  0.500
Pb  0.250  0.250  0.250
Pb  0.250  0.750  0.750
Pb  0.750  0.250  0.750
Pb  0.750  0.750  0.250
Br  0.250  0.250  0.750
Br  0.250  0.750  0.250
Br  0.750  0.250  0.250
Br  0.750  0.750  0.750

Total magnetization ... 0.61 Bohr magnetons per cell
SG ... F-43m
E_tot ... -4.31 eV/atom

---

# 2
Here is crystalline MgCdNi at its relaxed geometry from the Alexandria database. Energies are from PBE.

Cell: 4.458 4.458 2.908 Å, 90.00 90.00 120.00°
Fractional coordinates of all 3 atoms:
Mg  0.000  0.000  0.000
Cd  0.667  0.333  0.595
Ni  0.333  0.667  0.298

Formation energy from the elements ... 0.00 eV per atom
Total magnetization ... 0.00 Bohr magnetons per cell
SG ... P3m1
E above lowest polymorph ... 0.33 eV/f.u.

---

# 3
Here is crystalline CsK2SrSn at its relaxed geometry from the Alexandria database. Energies are from PBE.

Cell: 6.524 6.524 7.144 Å, 90.00 90.00 90.00°
Fractional coordinates of all 5 atoms:
Cs  0.000  0.000  0.000
K  0.000  0.500  0.000
K  0.500  0.000  0.000
Sr  0.000  0.000  0.500
Sn  0.500  0.500  0.500

Formation energy from the elements ... 0.76 eV per atom
Total magnetization ... 0.19 Bohr magnetons per cell
SG ... P4/mmm
E above lowest polymorph ... 4.16 eV/f.u.

---

# 4
Here is crystalline Tb4MgTc at its relaxed geometry from the Alexandria database. Energies are from PBE.

Cell: 7.852 7.852 6.244 Å, 100.22 100.22 110.56°
Fractional coordinates of all 12 atoms:
Tb  0.063  0.727  0.949
Tb  0.191  0.359  0.620
Tb  0.273  0.937  0.551
Tb  0.359  0.191  0.120
Tb  0.641  0.809  0.880
Tb  0.727  0.063  0.449
Tb  0.809  0.641  0.380
Tb  0.937  0.273  0.051
Mg  0.379  0.621  0.250
Mg  0.621  0.379  0.750
Tc  0.001  0.999  0.750
Tc  0.999  0.001  0.250

Formation energy from the elements ... -0.07 eV per atom
Total magnetization ... 0.00 Bohr magnetons per cell
SG ... C2/c